No. 1
DFT (PBE) results for a geometry-optimized FeCBr2 structure.

Unit cell a=4.622 b=4.622 c=4.622 alpha=60.00 beta=60.00 gamma=60.00
Each line ends with the local moment (μB).
Atoms (fractional coordinates):
C1 0.000 0.000 0.000  0.67
Br1 0.250 0.250 0.250  -0.06
Br2 0.750 0.750 0.750  -0.06
Fe1 0.500 0.500 0.500  -3.23

Properties
Fermi-level density of states (states/eV/f.u.): 4.11
E above lowest polymorph (meV/atom): 41
Uncorrected formation energy (eV/atom): 1.733
SG: No. 225

***

No. 2
DFT (PBE) results for a geometry-optimized FeC3Br structure.

Unit cell a=3.839 b=3.839 c=3.839 alpha=90.00 beta=90.00 gamma=90.00
Atoms (fractional coordinates):
Fe1 0.000 0.000 0.000
Br1 0.500 0.500 0.500
C1 0.000 0.000 0.500
C2 0.000 0.500 0.000
C3 0.500 0.000 0.000

Properties
Fermi-level density of states (states/eV/f.u.): 2.66
E above lowest polymorph (meV/atom): 0
Uncorrected formation energy (eV/atom): 2.102
SG: No. 221

***

No. 3
DFT (PBE) results for a geometry-optimized FeC2Br structure.

Unit cell a=3.890 b=3.890 c=3.890 alpha=60.00 beta=60.00 gamma=60.00
Atoms (fractional coordinates):
C1 0.250 0.250 0.250
Fe1 0.000 0.000 0.000
C2 0.750 0.750 0.750
Br1 0.500 0.500 0.500

Properties
Fermi-level density of states (states/eV/f.u.): 4.50
E above lowest polymorph (meV/atom): 1427
Uncorrected formation energy (eV/atom): 2.893
SG: No. 225

***

No. 4
DFT (PBE) results for a geometry-optimized FeCBr3 structure.

Unit cell a=4.741 b=4.741 c=4.741 alpha=90.00 beta=90.00 gamma=90.00
Each line ends with the local moment (μB).
Atoms (fractional coordinates):
Br1 0.000 0.000 0.500  0.03
Br2 0.500 0.000 0.000  0.03
C1 0.000 0.000 0.000  0.27
Br3 0.000 0.500 0.000  0.03
Fe1 0.500 0.500 0.500  3.35

Properties
Fermi-level density of states (states/eV/f.u.): 6.38
E above lowest polymorph (meV/atom): 0
Uncorrected formation energy (eV/atom): 1.337
SG: No. 221

***

No. 5
DFT (PBE) results for a geometry-optimized FeCBr2 structure.

Unit cell a=7.880 b=7.880 c=7.880 alpha=25.89 beta=25.89 gamma=25.89
Each line ends with the local moment (μB).
Atoms (fractional coordinates):
Br1 0.900 0.900 0.900  0.03
Br2 0.100 0.100 0.100  0.03
Fe1 0.000 0.000 0.000  2.80
C1 0.500 0.500 0.500  -0.44

Properties
Fermi-level density of states (states/eV/f.u.): 4.10
E above lowest polymorph (meV/atom): 0
Uncorrected formation energy (eV/atom): 1.692
SG: No. 166

***

No. 6
DFT (PBE) results for a geometry-optimized FeCBr3 structure.

Unit cell a=5.062 b=5.062 c=5.062 alpha=90.00 beta=90.00 gamma=90.00
Each line ends with the local moment (μB).
Atoms (fractional coordinates):
Fe1 0.000 0.000 0.000  3.43
Br1 0.500 0.000 0.000  0.11
Br2 0.000 0.000 0.500  0.11
C1 0.500 0.500 0.500  0.88
Br3 0.000 0.500 0.000  0.11

Properties
Fermi-level density of states (states/eV/f.u.): 7.83
E above lowest polymorph (meV/atom): 4
Uncorrected formation energy (eV/atom): 1.341
SG: No. 221

***

Question: Which of these has the highest E above lowest polymorph?
Answer: FeC2Br

***

Question: Look up the E above lowest polymorph of the third one.
Answer: 1427 meV/atom